DFT (PBE) results for LiHo2HPd6 after structural relaxation.

Cell: 5.898 6.014 6.035 Å, 62.31 60.83 60.73°
Atoms (fractional coordinates):
Li1 0.000 0.000 0.000
Ho1 0.257 0.244 0.241
Ho2 0.743 0.756 0.759
H1 0.500 0.500 0.500
Pd1 0.257 0.729 0.272
Pd2 0.258 0.271 0.728
Pd3 0.265 0.736 0.734
Pd4 0.735 0.264 0.266
Pd5 0.742 0.729 0.272
Pd6 0.743 0.271 0.728

Computed properties:
Total energy in eV per atom: -5.217
D(E_F) in states/eV/cell: 0.9

DFT (PBE) results for Ho4Lu2H after structural relaxation.

Cell: 9.071 9.071 9.071 Å, 149.46 149.46 43.73°
Atoms (fractional coordinates):
Ho1 0.000 0.500 0.500
Ho2 0.149 0.149 0.000
Ho3 0.500 0.000 0.500
Ho4 0.851 0.851 0.000
Lu1 0.353 0.353 0.000
Lu2 0.647 0.647 0.000
H1 0.000 0.000 0.000

Computed properties:
Total energy in eV per atom: -4.305
D(E_F) in states/eV/cell: 5.7

DFT (PBE) results for Ho2Lu4H after structural relaxation.

Cell: 9.018 9.018 9.018 Å, 149.54 149.54 43.61°
Atoms (fractional coordinates):
Ho1 0.149 0.149 0.000
Ho2 0.851 0.851 0.000
Lu1 0.000 0.500 0.500
Lu2 0.353 0.353 0.000
Lu3 0.500 0.000 0.500
Lu4 0.647 0.647 0.000
H1 0.500 0.500 0.000

Computed properties:
Total energy in eV per atom: -4.293
D(E_F) in states/eV/cell: 6.2

DFT (PBE) results for Ho3Mg5H12 after structural relaxation.

Cell: 10.512 10.512 10.512 Å, 109.47 109.47 109.47°
Atoms (fractional coordinates):
Ho1 0.125 0.250 0.375
Ho2 0.125 0.375 0.750
Ho3 0.250 0.375 0.125
Ho4 0.250 0.875 0.625
Ho5 0.375 0.125 0.250
Ho6 0.375 0.750 0.125
Ho7 0.625 0.250 0.875
Ho8 0.625 0.875 0.750
Ho9 0.750 0.125 0.375
Ho10 0.750 0.625 0.875
Ho11 0.875 0.625 0.250
Ho12 0.875 0.750 0.625
Mg1 0.000 0.000 0.000
Mg2 0.000 0.000 0.500
Mg3 0.000 0.500 0.000
Mg4 0.000 0.500 0.500
Mg5 0.125 0.750 0.875
Mg6 0.125 0.875 0.250
Mg7 0.250 0.125 0.875
Mg8 0.250 0.625 0.375
Mg9 0.375 0.250 0.625
Mg10 0.375 0.625 0.750
Mg11 0.500 0.000 0.000
Mg12 0.500 0.000 0.500
Mg13 0.500 0.500 0.000
Mg14 0.500 0.500 0.500
Mg15 0.625 0.375 0.250
Mg16 0.625 0.750 0.375
Mg17 0.750 0.375 0.625
Mg18 0.750 0.875 0.125
Mg19 0.875 0.125 0.750
Mg20 0.875 0.250 0.125
H1 0.050 0.219 0.138
H2 0.050 0.331 0.912
H3 0.082 0.719 0.669
H4 0.082 0.862 0.412
H5 0.088 0.638 0.418
H6 0.088 0.950 0.669
H7 0.138 0.050 0.219
H8 0.138 0.588 0.918
H9 0.169 0.219 0.582
H10 0.169 0.450 0.588
H11 0.219 0.138 0.050
H12 0.219 0.582 0.169
H13 0.281 0.331 0.918
H14 0.281 0.450 0.362
H15 0.331 0.912 0.050
H16 0.331 0.918 0.281
H17 0.362 0.281 0.450
H18 0.362 0.582 0.912
H19 0.412 0.082 0.862
H20 0.412 0.831 0.550
H21 0.418 0.088 0.638
H22 0.418 0.831 0.781
H23 0.450 0.362 0.281
H24 0.450 0.588 0.169
H25 0.550 0.412 0.831
H26 0.550 0.638 0.719
H27 0.582 0.169 0.219
H28 0.582 0.912 0.362
H29 0.588 0.169 0.450
H30 0.588 0.918 0.138
H31 0.638 0.418 0.088
H32 0.638 0.719 0.550
H33 0.669 0.082 0.719
H34 0.669 0.088 0.950
H35 0.719 0.550 0.638
H36 0.719 0.669 0.082
H37 0.781 0.418 0.831
H38 0.781 0.862 0.950
H39 0.831 0.550 0.412
H40 0.831 0.781 0.418
H41 0.862 0.412 0.082
H42 0.862 0.950 0.781
H43 0.912 0.050 0.331
H44 0.912 0.362 0.582
H45 0.918 0.138 0.588
H46 0.918 0.281 0.331
H47 0.950 0.669 0.088
H48 0.950 0.781 0.862

Computed properties:
Total energy in eV per atom: -3.337
D(E_F) in states/eV/cell: 18.3